1.
VASP calculation (PBE) on RbZrW3 after structural relaxation.

## Properties
Offset from the most stable computed form, eV/atom: 0.0000
Formation energy, kcal/mol of atoms: 62.3

Cell lengths 5.0411, 5.0411, 5.0411 Å; angles 90.00, 90.00, 90.00 degrees
Closest atoms and distances in Å follow each position.
Fractional coordinates of all 5 atoms:
W 0.0000 0.0000 0.5000  2 Zr 2.52
W 0.5000 0.0000 0.0000  2 Zr 2.52
W 0.0000 0.5000 0.0000  2 Zr 2.52
Rb 0.5000 0.5000 0.5000  12 W 3.56
Zr 0.0000 0.0000 0.0000  6 W 2.52



2.
VASP calculation (PBE) on Ba2Ga2As2P after structural relaxation.

## Properties
Formation energy, kcal/mol of atoms: -16.3

Cell lengths 4.6513, 7.0202, 7.8314 Å; angles 56.68, 89.96, 70.58 degrees
Closest atoms and distances in Å follow each position.
Fractional coordinates of all 7 atoms:
Ba 0.5557 0.8874 0.3163  2 P 3.15-3.16
Ba 0.4443 0.1126 0.6837  2 P 3.15-3.16
P 0.0000 0.0000 0.0000  2 Ga 2.41
As 0.1914 0.6173 0.7385  3 Ga 2.60-2.64
As 0.8086 0.3827 0.2615  3 Ga 2.60-2.64
Ga 0.2064 0.5874 0.0845  1 P 2.41, 3 As 2.60-2.64
Ga 0.7936 0.4126 0.9155  1 P 2.41, 3 As 2.60-2.64



3.
VASP calculation (PBE) on CeNiH2 after structural relaxation.

## Properties
Offset from the most stable computed form, eV/atom: 0.0000

Cell lengths 3.5623, 4.1464, 6.4384 Å; angles 90.00, 106.04, 90.00 degrees
Closest atoms and distances in Å follow each position.
Fractional coordinates of all 8 atoms:
H 0.2613 0.2500 0.5228  1 H 2.29, 4 Ce 2.32-2.40
H 0.5533 0.7500 0.1066  2 Ni 1.78
H 0.4467 0.2500 0.8934  2 Ni 1.78
H 0.7387 0.7500 0.4772  1 H 2.29, 4 Ce 2.32-2.40
Ce 0.3584 0.7500 0.7168  7 H 2.32-2.41
Ce 0.6416 0.2500 0.2832  7 H 2.32-2.41
Ni 0.0614 0.7500 0.1230  2 H 1.78
Ni 0.9386 0.2500 0.8770  2 H 1.78



4.
VASP calculation (PBE) on Ce5Ga5Cu2 after structural relaxation.

## Properties
Formation energy, kcal/mol of atoms: -9.7

Cell lengths 4.5730, 8.0448, 7.8775 Å; angles 74.36, 73.13, 73.49 degrees
Closest atoms and distances in Å follow each position.
Fractional coordinates of all 12 atoms:
Cu 0.1513 0.4148 0.2825  4 Ga 2.65-2.86, 3 Ce 2.92-2.96
Cu 0.8487 0.5852 0.7175  4 Ga 2.65-2.86, 3 Ce 2.92-2.96
Ce 0.5000 0.5000 0.5000  4 Cu 2.96, 6 Ga 3.04, 2 Ce 3.22
Ce 0.6238 0.6781 0.0744  3 Cu 2.92-3.24, 5 Ga 3.15-3.18, 1 Ce 3.22
Ce 0.3762 0.3219 0.9256  3 Cu 2.92-3.24, 5 Ga 3.15-3.18, 1 Ce 3.22
Ce 0.6722 0.9921 0.6636  4 Ga 3.02-3.07, 1 Cu 3.08, 2 Ce 3.35
Ce 0.3278 0.0079 0.3364  4 Ga 3.02-3.07, 1 Cu 3.08, 2 Ce 3.35
Ga 0.0413 0.2576 0.6599  2 Cu 2.65-2.86, 1 Ga 2.91
Ga 0.9587 0.7424 0.3401  2 Cu 2.65-2.86, 1 Ga 2.91
Ga 0.7566 0.2628 0.2241  2 Cu 2.65, 1 Ga 2.89
Ga 0.2434 0.7372 0.7759  2 Cu 2.65, 1 Ga 2.89
Ga 0.0000 0.0000 0.0000  4 Ga 2.89-2.91



5.
VASP calculation (PBE) on Te2AsW after structural relaxation.

## Properties
Raw formation energy, eV per atom: 0.900

Cell lengths 12.3930, 12.3930, 12.3930 Å; angles 14.00, 14.00, 14.00 degrees
Closest atoms and distances in Å follow each position.
Fractional coordinates of all 4 atoms:
Te 0.0756 0.0756 0.0756  1 W 2.78, 6 Te 3.02
Te 0.9244 0.9244 0.9244  1 W 2.78, 6 Te 3.02
W 0.0000 0.0000 0.0000  2 Te 2.78, 6 W 3.02
As 0.5000 0.5000 0.5000  6 As 3.02



6.
VASP calculation (PBE) on PmTl2Ag after structural relaxation.

## Properties
Offset from the most stable computed form, eV/atom: 0.1466
Formation energy, kcal/mol of atoms: -2.9

Cell lengths 3.6801, 3.6801, 7.5253 Å; angles 90.00, 90.00, 90.00 degrees
Closest atoms and distances in Å follow each position.
Fractional coordinates of all 4 atoms:
Pm 0.5000 0.5000 0.5000  8 Tl 3.34, 4 Pm 3.68
Tl 0.0000 0.0000 0.2212  4 Ag 3.09, 1 Tl 3.33, 4 Pm 3.34
Tl 0.0000 0.0000 0.7788  4 Ag 3.09, 1 Tl 3.33, 4 Pm 3.34
Ag 0.5000 0.5000 0.0000  8 Tl 3.09